PBE LaIn2Sn2, optimized geometry; DFT formation energy = -0.255 eV/atom; E_tot = -39.37 eV per cell
1.0
8.4143 0.0000 0.0000
0.0000 8.4143 0.0000
0.0000 0.0000 4.0312
La In Sn
2 4 4
Direct
0.0000 0.0000 0.0000
0.5000 0.5000 0.0000
0.1621 0.3379 0.5000
0.3379 0.8379 0.5000
0.6621 0.1621 0.5000
0.8379 0.6621 0.5000
0.1298 0.6298 0.0000
0.3702 0.1298 0.0000
0.6298 0.8702 0.0000
0.8702 0.3702 0.0000